No. 1
This record from Alexandria describes an optimized crystal structure of CaHg8Bi2. The functional is PBE.

```
CaHg8Bi2
1.0
-3.772 -1.572 3.763
-0.423 -10.054 2.911
5.123 10.844 1.026
Hg Bi Ca
8 2 1
direct
0.604 0.446 0.173
0.029 0.716 0.080
0.110 0.177 0.261
0.689 0.887 0.358
0.396 0.554 0.827
0.311 0.113 0.642
0.971 0.284 0.920
0.890 0.823 0.739
0.273 0.651 0.483
0.727 0.349 0.517
0.500 0.000 0.000
```

Results
Crystal system: triclinic

---

No. 2
This record from Alexandria describes an optimized crystal structure of CaHgBi2. The functional is PBE.

```
CaHgBi2
1.0
-7.703 -2.065 -3.549
2.166 -8.453 0.216
-4.094 -5.521 1.362
Hg Bi Ca
2 4 2
direct
0.000 0.000 0.000
0.750 0.250 0.500
0.875 0.911 0.750
0.089 0.625 0.250
0.661 0.125 0.250
0.375 0.339 0.750
0.500 0.500 0.000
0.250 0.750 0.500
```

Results
Crystal system: tetragonal

---

No. 3
This record from Alexandria describes an optimized crystal structure of Ca2HgBi. The functional is PBE.

```
Ca2HgBi
1.0
4.977 1.531 1.850
1.254 -0.570 5.352
3.655 -3.829 1.589
Ca Hg Bi
2 1 1
direct
0.250 0.250 0.250
0.750 0.750 0.750
0.000 0.000 0.000
0.500 0.500 0.500
```

Results
Polymorph energy (0 for the lowest one), eV/f.u.: 0.101
Crystal system: cubic

---

No. 4
This record from Alexandria describes an optimized crystal structure of CaHg3Bi2. The functional is PBE.

```
CaHg3Bi2
1.0
-5.373 0.080 -0.578
0.513 -2.773 -5.155
-0.606 -3.476 5.158
Hg Ca Bi
3 1 2
direct
0.500 0.842 0.684
0.500 0.500 0.000
0.500 0.158 0.316
0.000 0.000 0.000
0.000 0.312 0.624
0.000 0.688 0.376
```

Results
Crystal system: orthorhombic

---

No. 5
This record from Alexandria describes an optimized crystal structure of Ca3HgBi. The functional is PBE.

```
Ca3HgBi
1.0
-2.164 -3.294 1.260
-2.207 -2.112 -9.307
6.109 -5.889 -4.898
Bi Ca Hg
2 6 2
direct
0.363 0.694 0.746
0.863 0.194 0.247
0.863 0.772 0.447
0.864 0.993 0.670
0.364 0.048 0.100
0.864 0.395 0.823
0.863 0.617 0.046
0.363 0.341 0.393
0.362 0.694 0.246
0.364 0.194 0.746
```

Results
Polymorph energy (0 for the lowest one), eV/f.u.: 0.000
Crystal system: orthorhombic

---

No. 6
This record from Alexandria describes an optimized crystal structure of Ca4Hg2Bi5. The functional is PBE.

```
Ca4Hg2Bi5
1.0
-2.580 -2.287 -1.088
6.017 -4.855 -4.061
0.776 -5.269 9.230
Hg Ca Bi
2 4 5
direct
0.000 0.075 0.626
0.000 0.925 0.374
0.500 0.268 0.425
0.500 0.732 0.575
0.500 0.811 0.110
0.500 0.189 0.890
0.000 0.426 0.684
0.000 0.150 0.168
0.000 0.574 0.316
0.000 0.500 0.000
0.000 0.850 0.832
```

Results
Polymorph energy (0 for the lowest one), eV/f.u.: 0.043
Crystal system: monoclinic

---

No. 7
This record from Alexandria describes an optimized crystal structure of Ca4Hg2Bi. The functional is PBE.

```
Ca4Hg2Bi
1.0
6.001 0.000 0.000
0.000 6.001 0.000
3.000 3.000 7.707
Bi Ca Hg
1 4 2
direct
0.000 0.000 0.000
0.203 0.203 0.594
0.500 0.000 0.000
0.797 0.797 0.406
0.000 0.500 0.000
0.599 0.599 0.802
0.401 0.401 0.198
```

Results
Crystal system: tetragonal

---

No. 8
This record from Alexandria describes an optimized crystal structure of CaHg2Bi2. The functional is PBE.

```
CaHg2Bi2
1.0
-0.958 -1.365 3.954
4.125 -0.985 0.659
3.033 7.021 5.488
Ca Hg Bi
1 2 2
direct
0.000 0.000 0.000
0.250 0.750 0.500
0.750 0.250 0.500
0.584 0.584 0.831
0.416 0.416 0.169
```

Results
Polymorph energy (0 for the lowest one), eV/f.u.: 0.538
Crystal system: tetragonal

---

| no. | calculated formation energy (eV per formula unit) |
| --- | --- |
| 1 | -1.3 |
| 2 | -1.1 |
| 3 | -2.7 |
| 4 | -1.1 |
| 5 | -2.4 |
| 6 | -5.6 |
| 7 | -1.9 |
| 8 | -1.0 |